VASP calculation (PBE) on a relaxed V2InGa crystal.

Summary:
As for the volume: 137.71 Å³ per cell. As for the crystal system: tetragonal. For the offset from the most stable computed form, the calculation gives 1.44 eV/f.u. Its energy relative to the elements is 0.452 eV per atom.

Cell: 7.1169 7.1169 5.7199 Å, 51.53 51.53 90.00°
Fractional positions:
1 V 0.3750 0.3926 0.7500
2 Ga 0.2500 0.7500 0.5000
3 V 0.8750 0.8574 0.7500
4 In 0.0000 0.0000 0.0000
5 In 0.7500 0.2500 0.5000
6 V 0.1426 0.6250 0.2500
7 V 0.6074 0.1250 0.2500
8 Ga 0.5000 0.5000 0.0000